A plane-wave DFT calculation with PBE was carried out for CdInGa4 after structural relaxation.

Unit cell a=2.9836 b=5.4294 c=8.6545 alpha=108.28 beta=105.80 gamma=90.00
With the nearest neighbours (Å) after each atom.
Fractional positions:
Ga (0.4622, 0.6232, 0.7455)  5 Ga 2.71-2.98
Cd (0.7680, 0.2197, 0.4395)  2 Cd 2.98, 8 Ga 3.07-3.21, 1 In 3.08
Ga (0.6390, 0.5445, 0.0890)  5 Ga 2.78-3.04, 2 In 3.07
In (0.1453, 0.0346, 0.0692)  2 In 2.98, 6 Ga 3.07-3.16, 1 Cd 3.08
Ga (0.2732, 0.7057, 0.4114)  5 Ga 2.78-2.98, 2 Cd 3.07
Ga (0.4622, 0.1223, 0.7455)  5 Ga 2.71-2.98

* E: -15.472 eV for the cell shown
* mass density: 6.59 Mg/m³
* N(E_F): 1.81 states/eV/cell
* energy relative to the elements: 0.29 eV per formula unit
* size of the total moment: 0.0 Bohr magnetons per cell